[1]
Here is a relaxed ScPa6Sn10 crystal from Alexandria via LeMat-Bulk. Energies are from PBE.

Output
**Energy relative to the elements**: -0.261 eV per atom
**Space group**: P-31m (162)

Unit cell a=9.2044 b=9.2044 c=6.0850 alpha=90.00 beta=90.00 gamma=120.00
Sites, in units of the cell vectors:
Sc 0.0000 0.0000 0.0000
Pa 0.0000 0.3881 0.7562
Pa 0.0000 0.6119 0.2438
Pa 0.3881 0.0000 0.7562
Pa 0.3881 0.3881 0.2438
Pa 0.6119 0.0000 0.2438
Pa 0.6119 0.6119 0.7562
Sn 0.0000 0.2599 0.2723
Sn 0.0000 0.7401 0.7277
Sn 0.2599 0.0000 0.2723
Sn 0.2599 0.2599 0.7277
Sn 0.3333 0.6667 0.0000
Sn 0.3333 0.6667 0.5000
Sn 0.6667 0.3333 0.0000
Sn 0.6667 0.3333 0.5000
Sn 0.7401 0.0000 0.7277
Sn 0.7401 0.7401 0.2723

***

[2]
Here is a relaxed ErSc4S4 crystal from Alexandria via LeMat-Bulk. Energies are from PBE.

Output
**Space group**: C2/m (12)
**Formation energy from raw total energies**: -1.6725 eV/atom

Unit cell a=6.3990 b=6.3990 c=8.9592 alpha=118.00 beta=118.00 gamma=33.66
Sites, in units of the cell vectors:
Er 0.0000 0.0000 0.0000
Sc 0.2081 0.2081 0.8020
Sc 0.3998 0.3998 0.6027
Sc 0.6002 0.6002 0.3973
Sc 0.7919 0.7919 0.1980
S 0.2030 0.2030 0.3096
S 0.3961 0.3961 0.1089
S 0.6039 0.6039 0.8911
S 0.7970 0.7970 0.6904

***

[3]
Here is a relaxed Na2ZnBr4 crystal from Alexandria via LeMat-Bulk. Energies are from PBE.

Output
**Space group**: I-42m (121)
**Distance to the lowest polymorph of the same formula**: 33 meV/atom
**Formation energy from raw total energies**: -1.2513 eV/atom

Unit cell a=7.2962 b=7.2962 c=7.2962 alpha=122.40 beta=122.40 gamma=85.89
Sites, in units of the cell vectors:
Na 0.2500 0.7500 0.5000
Na 0.7500 0.2500 0.5000
Zn 0.0000 0.0000 0.0000
Br 0.0901 0.6710 0.0000
Br 0.3290 0.3290 0.4192
Br 0.6710 0.0901 0.0000
Br 0.9099 0.9099 0.5808

***

[4]
Here is a relaxed TaMo4Os crystal from Alexandria via LeMat-Bulk. Energies are from PBE.

Output
**Energy relative to the elements**: 0.276 eV per atom
**Space group**: F-43m (216)

Unit cell a=5.1858 b=5.1858 c=5.1858 alpha=60.00 beta=60.00 gamma=60.00
Sites, in units of the cell vectors:
Ta 0.0000 0.0000 0.0000
Mo 0.1211 0.6263 0.6263
Mo 0.6263 0.1211 0.6263
Mo 0.6263 0.6263 0.1211
Mo 0.6263 0.6263 0.6263
Os 0.2500 0.2500 0.2500

***

[5]
Here is a relaxed Li3NpAg2O6 crystal from Alexandria via LeMat-Bulk. Energies are from PBE.

Output
**Space group**: C2/m (12)
**Formation energy from raw total energies**: -1.6969 eV/atom

Unit cell a=5.8127 b=5.8127 c=5.5063 alpha=100.25 beta=100.25 gamma=121.89
Sites, in units of the cell vectors:
Li 0.0000 0.0000 0.0000
Li 0.3617 0.6383 0.0000
Li 0.6383 0.3617 0.0000
Np 0.5000 0.5000 0.5000
Ag 0.1792 0.8208 0.5000
Ag 0.8208 0.1792 0.5000
O 0.1486 0.4175 0.2333
O 0.2811 0.2811 0.7284
O 0.4175 0.1486 0.2333
O 0.5825 0.8514 0.7667
O 0.7189 0.7189 0.2716
O 0.8514 0.5825 0.7667

***

[6]
Here is a relaxed TbNdIr2 crystal from Alexandria via LeMat-Bulk. Energies are from PBE.

Output
**Energy relative to the elements**: -0.678 eV per atom
**Space group**: Amm2 (38)
**Distance to the lowest polymorph of the same formula**: 0 meV/atom

Unit cell a=4.2080 b=5.7432 c=5.7432 alpha=41.09 beta=90.00 gamma=90.00
Sites, in units of the cell vectors:
Tb 0.0000 0.0000 0.0000
Nd 0.5000 0.2917 0.2917
Ir 0.0000 0.7185 0.7185
Ir 0.5000 0.5657 0.5657

***

[7]
Here is a relaxed Cs2CeI3Br3 crystal from Alexandria via LeMat-Bulk. Energies are from PBE.

Output
**Space group**: P-62m (189)
**Formation energy from raw total energies**: -1.4434 eV/atom

Unit cell a=9.6212 b=9.6212 c=4.5689 alpha=90.00 beta=90.00 gamma=120.00
Sites, in units of the cell vectors:
Cs 0.3333 0.6667 0.0000
Cs 0.6667 0.3333 0.0000
Ce 0.0000 0.0000 0.5000
I 0.0000 0.6501 0.5000
I 0.3499 0.3499 0.5000
I 0.6501 0.0000 0.5000
Br 0.0000 0.2116 0.0000
Br 0.2116 0.0000 0.0000
Br 0.7884 0.7884 0.0000

***

[8]
Here is a relaxed GaMoP3 crystal from Alexandria via LeMat-Bulk. Energies are from PBE.

Output
**Energy relative to the elements**: 0.420 eV per atom
**Space group**: Pm-3m (221)
**Distance to the lowest polymorph of the same formula**: 0 meV/atom

Unit cell a=4.7297 b=4.7297 c=4.7297 alpha=90.00 beta=90.00 gamma=90.00
Sites, in units of the cell vectors:
Ga 0.0000 0.0000 0.0000
Mo 0.5000 0.5000 0.5000
P 0.0000 0.5000 0.5000
P 0.5000 0.0000 0.5000
P 0.5000 0.5000 0.0000

***

| no. | final energy (eV per atom) |
| --- | --- |
| 1 | -6.34 |
| 2 | -6.83 |
| 3 | -2.77 |
| 4 | -10.79 |
| 5 | -6.21 |
| 6 | -7.46 |
| 7 | -3.37 |
| 8 | -5.60 |